This record from Alexandria via LeMat-Bulk describes an optimized crystal structure of ZrMn2GeO6. The functional is PBE with a Hubbard U.

Computed properties:
As for the total energy: -7.907 eV/atom. Its space group is No. 146.

a = 5.3380 Å, b = 5.3390 Å, c = 5.5962 Å
α = 61.52°, β = 61.53°, γ = 60.01°
Last column: nearest neighbours and their distance in Å.
Positions (direct):
Zr  0.8128  0.8130  0.5613  6 O 2.06-2.20
Mn  0.5373  0.5374  0.3878  6 O 2.15-2.39
Mn  0.0313  0.0312  0.9064  6 O 2.13-2.35
Ge  0.3166  0.3168  0.0499  6 O 1.90-1.99
O  0.5763  0.1972  0.2571  1 Ge 1.90
O  0.1973  0.9694  0.2568  1 Ge 1.90
O  0.9693  0.5763  0.2570  1 Ge 1.90
O  0.4413  0.6747  0.7798  1 Ge 1.98, 1 Zr 2.06, 1 Mn 2.13
O  0.6748  0.1045  0.7795  1 Ge 1.99, 1 Zr 2.07, 1 Mn 2.13
O  0.1045  0.4413  0.7795  1 Ge 1.98, 1 Zr 2.07, 1 Mn 2.14